Entry 1:
This record from the Alexandria database describes Pm6DyTm2 after structural relaxation. The functional is PBE.

Values from the calculation:
space-group type	No. 2
D(E_F)	13.062	states/eV/cell
offset from the most stable computed form	0.000	eV/atom
VASP energy	-41.87	eV per formula unit

Lattice parameters (Å, degrees): 3.6059 9.5188 9.5262 69.07 79.32 79.22
Last column: nearest neighbours and their distance in Å.
Fractional coordinates of all 9 atoms:
Pm: 0.0578 0.2182 0.1684  3 Tm 3.56-3.58, 2 Dy 3.57-3.59, 7 Pm 3.61-3.66
Pm: 0.1670 0.6703 0.4970  2 Dy 3.57-3.58, 8 Pm 3.58-3.65, 2 Tm 3.60-3.61
Pm: 0.3872 0.5586 0.1665  10 Pm 3.58-3.66, 2 Tm 3.59
Pm: 0.6128 0.4414 0.8335  10 Pm 3.58-3.66, 2 Tm 3.59
Pm: 0.8330 0.3297 0.5030  2 Dy 3.57-3.58, 8 Pm 3.58-3.65, 2 Tm 3.60-3.61
Pm: 0.9422 0.7818 0.8316  3 Tm 3.56-3.58, 2 Dy 3.57-3.59, 7 Pm 3.61-3.66
Dy: 0.5000 0.0000 0.5000  8 Pm 3.57-3.59, 2 Dy 3.61, 2 Tm 3.62
Tm: 0.2770 0.1083 0.8367  4 Tm 3.54-3.61, 7 Pm 3.56-3.61, 1 Dy 3.62
Tm: 0.7230 0.8917 0.1633  4 Tm 3.54-3.61, 7 Pm 3.56-3.61, 1 Dy 3.62

***

Entry 2:
This record from the Alexandria database describes ScNbMoOs after structural relaxation. The functional is PBE.

Values from the calculation:
space-group type	No. 216
D(E_F)	5.013	states/eV/cell
VASP energy	-39.14	eV per formula unit

Lattice parameters (Å, degrees): 4.5607 4.5607 4.5607 60.00 60.00 60.00
Last column: nearest neighbours and their distance in Å.
Fractional coordinates of all 4 atoms:
Sc: 0.0000 0.0000 0.0000  4 Mo 2.79, 4 Os 2.79
Nb: 0.5000 0.5000 0.5000  4 Mo 2.79, 4 Os 2.79
Mo: 0.7500 0.7500 0.7500  4 Nb 2.79, 4 Sc 2.79
Os: 0.2500 0.2500 0.2500  4 Nb 2.79, 4 Sc 2.79

***

Which value of D(E_F) does entry 1 give?
13.062 states/eV/cell